Here is a geometry-optimized ScCu2Ge structure from the Alexandria database. Energies are from PBE-GGA.

Calculated values
The value obtained for the total magnetic moment is 0.00 μB per formula unit. Its formation energy is -0.31 eV/f.u. For the total energy, the calculation gives -4.86 eV per atom.

abc: 3.891 3.891 9.342
angles: 77.98 77.98 90.00
Atoms (fractional coordinates):
1 Sc 0.500 0.500 0.000
2 Sc 0.250 0.750 0.500
3 Ge 0.000 0.000 0.000
4 Ge 0.750 0.250 0.500
5 Cu 0.668 0.125 0.250
6 Cu 0.082 0.625 0.250
7 Cu 0.375 0.332 0.750
8 Cu 0.875 0.918 0.750